# 1
Density functional theory data (meta-GGA SCAN) for a crystal of BaTl3I relaxed with PBEsol.

Raw total energy, eV per atom: -58.68
N(E_F), states/eV/f.u.: 3.667
M_tot, μB per formula unit: 0.00
Formation energy without anion corrections, eV per atom: -0.01

Lattice parameters (Å, degrees): 6.1390 6.1390 6.1390 90.00 90.00 90.00
Last column: nearest neighbours and their distance in Å.
Space group Pm-3m (No. 221)
Unique sites:
Ba 0.0000 0.0000 0.0000 [1 per cell]  12 Tl 4.34
Tl 0.0000 0.5000 0.5000 [3 per cell]  2 I 3.07
I 0.5000 0.5000 0.5000 [1 per cell]  6 Tl 3.07

---

# 2
Density functional theory data (meta-GGA SCAN) for a crystal of BaUI6 relaxed with PBEsol.

Raw total energy, eV per atom: -46.71
M_tot, μB per formula unit: 2.00
Formation energy without anion corrections, eV per atom: -1.27

Lattice parameters (Å, degrees): 8.2538 13.7345 13.6007 90.00 102.88 90.00
Last column: nearest neighbours and their distance in Å.
Space group Cc (No. 9)
Unique sites:
Ba 0.0000 0.0786 0.0000 [4 per cell]  6 I 3.39-3.61
U 0.0259 0.4185 0.0644 [4 per cell]  6 I 2.96-3.02
I 0.0785 0.4120 0.4382 [4 per cell]  1 U 2.98
I 0.1779 0.2884 0.9322 [4 per cell]  1 U 3.00
I 0.1953 0.1170 0.4267 [4 per cell]  1 U 2.99
I 0.3647 0.0566 0.1795 [4 per cell]  1 U 2.96
I 0.3663 0.4496 0.1994 [4 per cell]  1 U 3.02
I 0.4550 0.2520 0.6807 [4 per cell]  1 U 2.96

---

# 3
Density functional theory data (meta-GGA SCAN) for a crystal of BaYI5 relaxed with PBEsol.

Raw total energy, eV per atom: -37.53
N(E_F), states/eV/f.u.: 0.000
M_tot, μB per formula unit: 0.00
Formation energy without anion corrections, eV per atom: -1.66

Lattice parameters (Å, degrees): 13.0702 9.0190 11.7428 90.00 112.52 90.00
Last column: nearest neighbours and their distance in Å.
Space group C2/c (No. 15)
Unique sites:
Ba 0.0000 0.0380 0.2500 [4 per cell]  7 I 3.42-3.74
Y 0.0000 0.5000 0.0000 [4 per cell]  6 I 2.94-3.01
I 0.0000 0.4244 0.2500 [4 per cell]  2 Y 3.01
I 0.0890 0.1916 0.0066 [8 per cell]  1 Y 3.00
I 0.2240 0.3792 0.6265 [8 per cell]  1 Y 2.94